An optimized crystal structure of TiOsN2. Source: Alexandria, functional PBE.

```
data_TiOsN2
_chemical_formula_sum 'Ti4 Os4 N8'
_space_group_name_H-M_alt 'I -4 2 d'
_space_group_IT_number 122
_space_group_name_Hall 'I -4 2bw'
_cell_length_a 4.474
_cell_length_b 4.474
_cell_length_c 9.712
_cell_angle_alpha 90.00
_cell_angle_beta 90.00
_cell_angle_gamma 90.00
loop_
_atom_site_label
_atom_site_type_symbol
_atom_site_fract_x
_atom_site_fract_y
_atom_site_fract_z
Ti1 Ti 0.000 0.000 0.000
Os1 Os 0.000 0.000 0.500
N1 N 0.249 0.250 0.625
```

Its formation energy without anion corrections is -132.2 kJ/mol of formula units.


An optimized crystal structure of Ti4OsN2. Source: Alexandria, functional PBE.

```
data_Ti4OsN2
_chemical_formula_sum 'Ti16 Os4 N8'
_space_group_name_H-M_alt 'C m c m'
_space_group_IT_number 63
_space_group_name_Hall '-C 2c 2'
_cell_length_a 3.053
_cell_length_b 10.458
_cell_length_c 11.010
_cell_angle_alpha 90.00
_cell_angle_beta 90.00
_cell_angle_gamma 90.00
loop_
_atom_site_label
_atom_site_type_symbol
_atom_site_fract_x
_atom_site_fract_y
_atom_site_fract_z
Ti1 Ti 0.000 0.000 0.000
Ti2 Ti 0.000 0.267 0.105
Ti3 Ti 0.000 0.416 0.750
Os1 Os 0.000 0.106 0.750
N1 N 0.000 0.366 0.559
```

Its formation energy without anion corrections is -784.9 kJ/mol of formula units.


An optimized crystal structure of Ti2OsN. Source: Alexandria, functional PBE.

```
data_Ti2OsN
_chemical_formula_sum 'Ti8 Os4 N4'
_space_group_name_H-M_alt 'F m -3 m'
_space_group_IT_number 225
_space_group_name_Hall '-F 4 2 3'
_cell_length_a 5.974
_cell_length_b 5.974
_cell_length_c 5.974
_cell_angle_alpha 90.00
_cell_angle_beta 90.00
_cell_angle_gamma 90.00
loop_
_atom_site_label
_atom_site_type_symbol
_atom_site_fract_x
_atom_site_fract_y
_atom_site_fract_z
Ti1 Ti 0.250 0.250 0.250
Os1 Os 0.000 0.000 0.000
N1 N 0.000 0.000 0.500
```

Its formation energy without anion corrections is 119.4 kJ/mol of formula units.


An optimized crystal structure of Ti3OsN. Source: Alexandria, functional PBE.

```
data_Ti3OsN
_chemical_formula_sum 'Ti3 Os1 N1'
_space_group_name_H-M_alt 'P m -3 m'
_space_group_IT_number 221
_space_group_name_Hall '-P 4 2 3'
_cell_length_a 4.701
_cell_length_b 4.701
_cell_length_c 4.701
_cell_angle_alpha 90.00
_cell_angle_beta 90.00
_cell_angle_gamma 90.00
loop_
_atom_site_label
_atom_site_type_symbol
_atom_site_fract_x
_atom_site_fract_y
_atom_site_fract_z
Ti1 Ti 0.000 0.000 0.500
Os1 Os 0.000 0.000 0.000
N1 N 0.500 0.500 0.500
```

Its formation energy without anion corrections is 659.3 kJ/mol of formula units.


An optimized crystal structure of TiOsN2. Source: Alexandria, functional PBE.

```
data_TiOsN2
_chemical_formula_sum 'Ti4 Os4 N8'
_space_group_name_H-M_alt 'F m -3 m'
_space_group_IT_number 225
_space_group_name_Hall '-F 4 2 3'
_cell_length_a 5.368
_cell_length_b 5.368
_cell_length_c 5.368
_cell_angle_alpha 90.00
_cell_angle_beta 90.00
_cell_angle_gamma 90.00
loop_
_atom_site_label
_atom_site_type_symbol
_atom_site_fract_x
_atom_site_fract_y
_atom_site_fract_z
Ti1 Ti 0.000 0.000 0.000
Os1 Os 0.000 0.000 0.500
N1 N 0.250 0.250 0.250
```

Its formation energy without anion corrections is 120.3 kJ/mol of formula units.


An optimized crystal structure of Ti4OsN. Source: Alexandria, functional PBE.

```
data_Ti4OsN
_chemical_formula_sum 'Ti16 Os4 N4'
_space_group_name_H-M_alt 'I 41 m d'
_space_group_IT_number 109
_space_group_name_Hall 'I 4bw -2'
_cell_length_a 7.410
_cell_length_b 7.410
_cell_length_c 7.076
_cell_angle_alpha 90.00
_cell_angle_beta 90.00
_cell_angle_gamma 90.00
loop_
_atom_site_label
_atom_site_type_symbol
_atom_site_fract_x
_atom_site_fract_y
_atom_site_fract_z
Ti1 Ti 0.000 0.188 0.000
Ti2 Ti 0.000 0.204 0.420
Os1 Os 0.000 0.000 0.697
N1 N 0.000 0.000 0.222
```

Its formation energy without anion corrections is -226.0 kJ/mol of formula units.


An optimized crystal structure of TiOsN2. Source: Alexandria, functional PBE.

```
data_TiOsN2
_chemical_formula_sum 'Ti3 Os3 N6'
_space_group_name_H-M_alt 'R -3 m'
_space_group_IT_number 166
_space_group_name_Hall '-R 3 2"'
_cell_length_a 2.9135
_cell_length_b 2.9135
_cell_length_c 19.4404
_cell_angle_alpha 90.00
_cell_angle_beta 90.00
_cell_angle_gamma 120.00
loop_
_atom_site_label
_atom_site_type_symbol
_atom_site_fract_x
_atom_site_fract_y
_atom_site_fract_z
Ti1 Ti 0.0000 0.0000 0.0000
Os1 Os 0.0000 0.0000 0.5000
N1 N 0.0000 0.0000 0.1019
```

Its formation energy without anion corrections is 150.4 kJ/mol of formula units.


An optimized crystal structure of Ti3OsN. Source: Alexandria, functional PBE.

```
data_Ti3OsN
_chemical_formula_sum 'Ti3 Os1 N1'
_space_group_name_H-M_alt 'P m -3 m'
_space_group_IT_number 221
_space_group_name_Hall '-P 4 2 3'
_cell_length_a 4.089
_cell_length_b 4.089
_cell_length_c 4.089
_cell_angle_alpha 90.00
_cell_angle_beta 90.00
_cell_angle_gamma 90.00
loop_
_atom_site_label
_atom_site_type_symbol
_atom_site_fract_x
_atom_site_fract_y
_atom_site_fract_z
Ti1 Ti 0.000 0.000 0.500
Os1 Os 0.500 0.500 0.500
N1 N 0.000 0.000 0.000
```

Its formation energy without anion corrections is -411.0 kJ/mol of formula units.


An optimized crystal structure of TiV2OsN. Source: Alexandria, functional PBE.

```
data_TiV2OsN
_chemical_formula_sum 'Ti1 V2 Os1 N1'
_space_group_name_H-M_alt 'P 4/m m m'
_space_group_IT_number 123
_space_group_name_Hall '-P 4 2'
_cell_length_a 3.902
_cell_length_b 3.902
_cell_length_c 4.128
_cell_angle_alpha 90.00
_cell_angle_beta 90.00
_cell_angle_gamma 90.00
loop_
_atom_site_label
_atom_site_type_symbol
_atom_site_fract_x
_atom_site_fract_y
_atom_site_fract_z
Ti1 Ti 0.000 0.000 0.000
V1 V 0.000 0.500 0.500
Os1 Os 0.500 0.500 0.000
N1 N 0.000 0.000 0.500
```

Its formation energy without anion corrections is -303.8 kJ/mol of formula units.


An optimized crystal structure of ZrTi2OsN. Source: Alexandria, functional PBE.

```
data_ZrTi2OsN
_chemical_formula_sum 'Zr1 Ti2 Os1 N1'
_space_group_name_H-M_alt 'P 4/m m m'
_space_group_IT_number 123
_space_group_name_Hall '-P 4 2'
_cell_length_a 4.056
_cell_length_b 4.056
_cell_length_c 4.526
_cell_angle_alpha 90.00
_cell_angle_beta 90.00
_cell_angle_gamma 90.00
loop_
_atom_site_label
_atom_site_type_symbol
_atom_site_fract_x
_atom_site_fract_y
_atom_site_fract_z
Zr1 Zr 0.000 0.000 0.000
Ti1 Ti 0.000 0.500 0.500
Os1 Os 0.500 0.500 0.000
N1 N 0.000 0.000 0.500
```

Its formation energy without anion corrections is -390.6 kJ/mol of formula units.


An optimized crystal structure of ZrTiOsN2. Source: Alexandria, functional PBE.

```
data_ZrTiOsN2
_chemical_formula_sum 'Zr1 Ti1 Os1 N2'
_space_group_name_H-M_alt 'P 4/m m m'
_space_group_IT_number 123
_space_group_name_Hall '-P 4 2'
_cell_length_a 3.983
_cell_length_b 3.983
_cell_length_c 6.416
_cell_angle_alpha 90.00
_cell_angle_beta 90.00
_cell_angle_gamma 90.00
loop_
_atom_site_label
_atom_site_type_symbol
_atom_site_fract_x
_atom_site_fract_y
_atom_site_fract_z
Zr1 Zr 0.000 0.000 0.000
Ti1 Ti 0.000 0.000 0.500
Os1 Os 0.500 0.500 0.500
N1 N 0.000 0.500 0.000
```

Its formation energy without anion corrections is 731.6 kJ/mol of formula units.


An optimized crystal structure of Tl2OsN2. Source: Alexandria, functional PBE.

```
data_Tl2OsN2
_chemical_formula_sum 'Tl4 Os2 N4'
_space_group_name_H-M_alt 'P 4/m b m'
_space_group_IT_number 127
_space_group_name_Hall '-P 4 2ab'
_cell_length_a 7.161
_cell_length_b 7.161
_cell_length_c 3.111
_cell_angle_alpha 90.00
_cell_angle_beta 90.00
_cell_angle_gamma 90.00
loop_
_atom_site_label
_atom_site_type_symbol
_atom_site_fract_x
_atom_site_fract_y
_atom_site_fract_z
Tl1 Tl 0.151 0.349 0.000
Os1 Os 0.000 0.000 0.000
N1 N 0.153 0.653 0.500
```

Its formation energy without anion corrections is 1044.0 kJ/mol of formula units.